# 1
DFT (PBE-GGA) results for a relaxed structure of TcAsN2.

Lattice parameters (Å, degrees): 6.805 6.805 6.805 24.53 24.53 24.53
Fractional coordinates of all 4 atoms:
Tc: 0.000 0.000 0.000
As: 0.500 0.500 0.500
N: 0.396 0.396 0.396
N: 0.604 0.604 0.604

Output
**Raw formation energy**: 356 meV per atom
**DFT total energy**: -7.560 eV per atom

# 2
DFT (PBE-GGA) results for a relaxed structure of NdTm2Sn2Hg2.

Lattice parameters (Å, degrees): 9.276 9.276 9.276 31.25 31.25 31.25
Fractional coordinates of all 7 atoms:
Nd: 0.000 0.000 0.000
Tm: 0.132 0.132 0.132
Tm: 0.868 0.868 0.868
Sn: 0.267 0.267 0.267
Sn: 0.733 0.733 0.733
Hg: 0.436 0.436 0.436
Hg: 0.564 0.564 0.564

Output
**DFT total energy**: -3.517 eV per atom

# 3
DFT (PBE-GGA) results for a relaxed structure of Nb2CoPbS.

Lattice parameters (Å, degrees): 5.320 5.320 5.095 90.00 90.00 90.00
Fractional coordinates of all 5 atoms:
Nb: 0.000 0.500 0.000
Nb: 0.500 0.000 0.000
Co: 0.000 0.000 0.500
Pb: 0.500 0.500 0.000
S: 0.500 0.500 0.500

Output
**Raw formation energy**: 2308 meV per atom
**DFT total energy**: -4.709 eV per atom

Q: Which DOS(E_F) values were calculated for the entries above? A: 2.9 5.1 7.0, in states/eV/f.u..
Q: Which V values were calculated for the entries above? A: 47.76 190.65 144.24, in Å³ per cell.